## Ce4SmAs5 (PBE)

Data for crystalline Ce4SmAs5 at its relaxed geometry.

Structure (CIF):
```
data_Ce4SmAs5
_symmetry_space_group_name_H-M 'I 4/m m m'
_symmetry_Int_Tables_number 139
_symmetry_space_group_name_Hall '-I 4 2'
_cell_length_a 4.219
_cell_length_b 4.219
_cell_length_c 29.810
_cell_angle_alpha 90.00
_cell_angle_beta 90.00
_cell_angle_gamma 90.00
loop_
_atom_site_label
_atom_site_type_symbol
_atom_site_fract_x
_atom_site_fract_y
_atom_site_fract_z
Ce1 Ce 0.000 0.000 0.099
Ce2 Ce 0.000 0.000 0.300
Sm1 Sm 0.000 0.000 0.500
As1 As 0.000 0.000 0.000
As2 As 0.000 0.000 0.200
As3 As 0.000 0.000 0.400
```

Properties
- ΔE_f: -139.4 kJ/mol of atoms
- D(E_F): 21.58 states/eV/f.u.
- Total magnetization: 2.86 μB per formula unit